[1]
VASP calculation (PBE) on crystalline Ho2ErSn at its relaxed geometry.

Cell: 3.554 3.554 9.177 Å, 90.00 90.00 90.00°
Space group P4/mmm (No. 123)
Symmetry-distinct sites (fractional):
Ho  0.000  0.000  0.230
Er  0.500  0.500  0.500
Sn  0.500  0.500  0.000

- Polymorph energy (0 for the lowest one): 104 meV/atom
- Energy of formation: -117 kJ/mol of formula units

[2]
VASP calculation (PBE) on crystalline La5TlSn2 at its relaxed geometry.

Cell: 8.574 8.574 14.480 Å, 90.00 90.00 90.00°
Space group I4/mcm (No. 140)
Symmetry-distinct sites (fractional):
La  0.000  0.000  0.000
La  0.171  0.329  0.150
Tl  0.000  0.000  0.250
Sn  0.128  0.372  0.500

- Energy of formation: -437 kJ/mol of formula units

[3]
VASP calculation (PBE) on crystalline CaPm2PuN4 at its relaxed geometry.

Cell: 6.084 3.577 6.088 Å, 90.00 108.53 90.00°
Space group P2/m (No. 10)
Symmetry-distinct sites (fractional):
Ca  0.000  0.000  0.000
Pm  0.000  0.500  0.500
Pm  0.500  0.000  0.500
Pu  0.500  0.500  0.000
N  0.261  0.000  0.758
N  0.278  0.500  0.233

- Uncorrected formation energy: -1263 meV per atom

[4]
VASP calculation (PBE) on crystalline Pm4TlPbO at its relaxed geometry.

Cell: 6.681 17.602 6.667 Å, 90.00 90.00 90.00°
Space group Cmcm (No. 63)
Symmetry-distinct sites (fractional):
Pm  0.000  0.066  0.250
Pm  0.000  0.418  0.250
Pm  0.250  0.250  0.000
Tl  0.000  0.113  0.750
Pb  0.000  0.391  0.750
O  0.000  0.279  0.250

- Uncorrected formation energy: -1100 meV per atom

[5]
VASP calculation (PBE) on crystalline BiP3H at its relaxed geometry.

Cell: 5.443 5.443 5.443 Å, 90.00 90.00 90.00°
Space group Pm-3m (No. 221)
Symmetry-distinct sites (fractional):
Bi  0.000  0.000  0.000
P  0.000  0.000  0.500
H  0.500  0.500  0.500

- Polymorph energy (0 for the lowest one): 1013 meV/atom

[6]
VASP calculation (PBE) on crystalline Ac6GeAs4 at its relaxed geometry.

Cell: 4.523 14.822 22.848 Å, 90.00 90.00 90.00°
Space group Cmcm (No. 63)
Symmetry-distinct sites (fractional):
Ac  0.000  0.000  0.000
Ac  0.000  0.185  0.250
Ac  0.000  0.275  0.583
Ac  0.000  0.451  0.165
Ge  0.000  0.161  0.750
As  0.000  0.089  0.128
As  0.000  0.362  0.043

- Energy of formation: -1279 kJ/mol of formula units

[7]
VASP calculation (PBE) on crystalline Pm6Ru2CCl3 at its relaxed geometry.

Cell: 6.903 11.982 7.702 Å, 90.00 106.99 90.00°
Space group C2/m (No. 12)
Symmetry-distinct sites (fractional):
Pm  0.218  0.156  0.196
Pm  0.247  0.500  0.194
Ru  0.000  0.331  0.000
C  0.000  0.000  0.000
Cl  0.000  0.158  0.500
Cl  0.000  0.500  0.500

- Uncorrected formation energy: -893 meV per atom

[8]
VASP calculation (PBE) on crystalline Tb4Ho5Mg2 at its relaxed geometry.

Cell: 3.408 8.807 22.885 Å, 90.00 90.00 90.00°
Space group Immm (No. 71)
Symmetry-distinct sites (fractional):
Tb  0.000  0.000  0.233
Tb  0.000  0.319  0.500
Ho  0.000  0.197  0.360
Ho  0.000  0.500  0.000
Mg  0.000  0.000  0.099

- Polymorph energy (0 for the lowest one): 197 meV/atom
- Energy of formation: 252 kJ/mol of formula units

[9]
VASP calculation (PBE) on crystalline TlGePd2 at its relaxed geometry.

Cell: 7.342 7.342 5.828 Å, 90.00 90.00 90.00°
Space group I-42d (No. 122)
Symmetry-distinct sites (fractional):
Tl  0.000  0.000  0.000
Ge  0.000  0.000  0.500
Pd  0.199  0.750  0.625

- Energy of formation: -29 kJ/mol of formula units

[10]
VASP calculation (PBE) on crystalline PrNd3N3 at its relaxed geometry.

Cell: 5.175 5.175 5.175 Å, 90.00 90.00 90.00°
Space group Pm-3m (No. 221)
Symmetry-distinct sites (fractional):
Pr  0.000  0.000  0.000
Nd  0.000  0.500  0.500
N  0.000  0.000  0.500

- Polymorph energy (0 for the lowest one): 0 meV/atom
- Uncorrected formation energy: -1098 meV per atom

[11]
VASP calculation (PBE) on crystalline Li2ZrTc at its relaxed geometry.

Cell: 2.782 5.041 4.937 Å, 90.00 100.12 90.00°
Space group P2/m (No. 10)
Symmetry-distinct sites (fractional):
Li  0.215  0.000  0.278
Zr  0.500  0.500  0.000
Tc  0.000  0.500  0.500

- Polymorph energy (0 for the lowest one): 36 meV/atom
- Energy of formation: 69 kJ/mol of formula units

[12]
VASP calculation (PBE) on crystalline MgTlTc at its relaxed geometry.

Cell: 4.7051 4.7051 2.9160 Å, 90.00 90.00 120.00°
Space group P3m1 (No. 156)
Symmetry-distinct sites (fractional):
Mg  0.0000  0.0000  0.0000
Tl  0.6667  0.3333  0.7101
Tc  0.3333  0.6667  0.3766

- Polymorph energy (0 for the lowest one): 27 meV/atom
- Energy of formation: 147 kJ/mol of formula units